Density functional theory data (PBE) for K4ScIr after structural relaxation.

Structure (POSCAR):
```
K4ScIr
1.0
0.0000 4.6948 4.6948
4.6948 0.0000 4.6948
4.6948 4.6948 0.0000
K Sc Ir
4 1 1
direct
0.3777 0.3777 0.3777
0.3777 0.3777 0.8670
0.3777 0.8670 0.3777
0.8670 0.3777 0.3777
0.0000 0.0000 0.0000
0.7500 0.7500 0.7500
```

Fermi-level density of states = 1.45 states/eV per atom
Calculated total energy = -2.12 eV/atom
Magnetization = 1.04 μB/f.u.